A plane-wave DFT calculation with PBE-GGA was carried out for a relaxed BiB crystal.

Summary:
total magnetization = 0.00 Bohr magnetons per cell
crystal system = orthorhombic
energy relative to the elements = 1137 meV per atom

Structure (CIF):
```
data_BiB
_chemical_formula_sum 'Bi16 B16'
_cell_length_a 7.884
_cell_length_b 10.708
_cell_length_c 10.928
_cell_angle_alpha 90.00
_cell_angle_beta 90.00
_cell_angle_gamma 90.00
_space_group_name_H-M_alt 'F d d d'
_space_group_IT_number 70
loop_
_space_group_symop_operation_xyz
'x,y,z'
'-x,-y,-z'
'-x+1/4,-y+1/4,z'
'x+1/4,y+1/4,-z'
'x,-y+1/4,-z+1/4'
'-x,y+1/4,z+1/4'
'-x+1/4,y,-z+1/4'
'x+1/4,-y,z+1/4'
'x,y+1/2,z+1/2'
'-x,-y+1/2,-z+1/2'
'-x+1/4,-y+3/4,z+1/2'
'x+1/4,y+3/4,-z+1/2'
'x,-y+3/4,-z+3/4'
'-x,y+3/4,z+3/4'
'-x+1/4,y+1/2,-z+3/4'
'x+1/4,-y+1/2,z+3/4'
'x+1/2,y,z+1/2'
'-x+1/2,-y,-z+1/2'
'-x+3/4,-y+1/4,z+1/2'
'x+3/4,y+1/4,-z+1/2'
'x+1/2,-y+1/4,-z+3/4'
'-x+1/2,y+1/4,z+3/4'
'-x+3/4,y,-z+3/4'
'x+3/4,-y,z+3/4'
'x+1/2,y+1/2,z'
'-x+1/2,-y+1/2,-z'
'-x+3/4,-y+3/4,z'
'x+3/4,y+3/4,-z'
'x+1/2,-y+3/4,-z+1/4'
'-x+1/2,y+3/4,z+1/4'
'-x+3/4,y+1/2,-z+1/4'
'x+3/4,-y+1/2,z+1/4'
loop_
_atom_site_label
_atom_site_fract_x
_atom_site_fract_y
_atom_site_fract_z
Bi1 0.125 0.290 0.125
B1 0.125 0.125 0.279
```